Entry 1:
Density functional theory data (PBE-GGA) for P2C after structural relaxation.

Properties
* VASP energy: -0.17550 hartree per atom
* formation enthalpy at 0 K: 1.91 eV/atom
* energy relative to the lowest polymorph listed for this composition: 1475 meV/atom

abc: 4.0711 4.0711 2.3610
angles: 90.00 90.00 120.00
Last column: nearest neighbours and their distance in Å.
Space group P6/mmm (No. 191)
Inequivalent atoms, fractional coordinates:
P 0.3333 0.6667 0.0000 x2  5 P 2.35-2.36, 6 C 2.63
C 0.0000 0.0000 0.5000 x1  2 C 2.36, 12 P 2.63

Entry 2:
Density functional theory data (PBE-GGA) for In13Hg2 after structural relaxation.

Properties
* VASP energy: -0.08399 hartree per atom
* formation enthalpy at 0 K: 0.13 eV/atom
* energy relative to the lowest polymorph listed for this composition: 0 meV/atom

abc: 8.4618 8.4618 23.8510
angles: 90.00 90.00 120.00
Last column: nearest neighbours and their distance in Å.
Space group R-3m (No. 166, hexagonal axes)
Inequivalent atoms, fractional coordinates:
In 0.0000 0.0000 0.0000 x3  12 In 3.15-3.19
In 0.0723 0.5362 0.5595 x18  1 Hg 3.00, 6 In 3.03-3.31
In 0.0840 0.5420 0.3018 x18  8 In 3.15-3.50, 1 Hg 3.42
Hg 0.0000 0.0000 0.2436 x6  3 In 3.00

Entry 3:
Density functional theory data (PBE-GGA) for Nd2In2Pb3 after structural relaxation.

Properties
* VASP energy: -0.14730 hartree per atom
* formation enthalpy at 0 K: -0.27 eV/atom

abc: 9.5742 9.5742 9.5742
angles: 90.00 90.00 90.00
Last column: nearest neighbours and their distance in Å.
Space group I2_13 (No. 199)
Inequivalent atoms, fractional coordinates:
Nd 0.2349 0.2349 0.2349 x8  1 In 3.16, 6 Pb 3.27-3.33
In 0.0742 0.4258 0.5742 x8  1 Nd 3.16, 3 Pb 3.23
Pb 0.0000 0.2500 0.9793 x12  2 In 3.23, 4 Nd 3.27-3.33, 4 Pb 3.53

Entry 4:
Density functional theory data (PBE-GGA) for PmThH4 after structural relaxation.

Properties
* VASP energy: -0.17850 hartree per atom

abc: 3.8549 3.8549 5.4004
angles: 90.00 90.00 90.00
Last column: nearest neighbours and their distance in Å.
Space group P4/mmm (No. 123)
Inequivalent atoms, fractional coordinates:
Pm 0.0000 0.0000 0.0000 x1  8 H 2.36
Th 0.5000 0.5000 0.5000 x1  8 H 2.35
H 0.0000 0.5000 0.2516 x4  2 Th 2.35, 2 Pm 2.36

Entry 5:
Density functional theory data (PBE-GGA) for MgNiW3 after structural relaxation.

Properties
* VASP energy: -0.28672 hartree per atom
* formation enthalpy at 0 K: 1.45 eV/atom
* energy relative to the lowest polymorph listed for this composition: 0 meV/atom

abc: 4.5230 4.5230 4.5230
angles: 90.00 90.00 90.00
Last column: nearest neighbours and their distance in Å.
Space group Pm-3m (No. 221)
Inequivalent atoms, fractional coordinates:
Mg 0.0000 0.0000 0.0000 x1  12 W 3.20
Ni 0.5000 0.5000 0.5000 x1  6 W 2.26
W 0.0000 0.5000 0.5000 x3  2 Ni 2.26

Entry 6:
Density functional theory data (PBE-GGA) for BaFeP2 after structural relaxation.

Properties
* VASP energy: -0.21146 hartree per atom
* formation enthalpy at 0 K: -0.45 eV/atom
* energy relative to the lowest polymorph listed for this composition: 114 meV/atom

abc: 7.3553 3.8766 6.1400
angles: 90.00 102.41 90.00
Last column: nearest neighbours and their distance in Å.
Space group Cm (No. 8)
Inequivalent atoms, fractional coordinates:
Ba 0.0000 0.0000 0.0000 x2  6 P 3.14-3.32, 2 Fe 3.50
Fe 0.2121 0.5000 0.4585 x2  3 P 2.17-2.26
P 0.2361 0.0000 0.6203 x2  2 Fe 2.17, 1 P 2.20
P 0.3986 0.0000 0.3582 x2  1 P 2.20, 1 Fe 2.26

Entry 7:
Density functional theory data (PBE-GGA) for LaCe2NdP4 after structural relaxation.

Properties
* VASP energy: -0.25468 hartree per atom
* formation enthalpy at 0 K: -1.53 eV/atom

abc: 7.1920 4.1513 7.1972
angles: 90.00 109.44 90.00
Last column: nearest neighbours and their distance in Å.
Space group P2/m (No. 10)
Inequivalent atoms, fractional coordinates:
La 0.0000 0.0000 0.0000 x1  6 P 2.99
Ce 0.0000 0.5000 0.5000 x1  6 P 2.91
Ce 0.5000 0.0000 0.5000 x1  6 P 2.89
Nd 0.5000 0.5000 0.0000 x1  6 P 2.97
P 0.2491 0.0000 0.7406 x2  3 Ce 2.89-2.91, 2 Nd 2.97, 1 La 2.99
P 0.2561 0.5000 0.2614 x2  3 Ce 2.89-2.91, 1 Nd 2.97, 2 La 2.99

Entry 8:
Density functional theory data (PBE-GGA) for Pm8C3Br4N after structural relaxation.

Properties
* formation energy (no corrections): -1049 meV/atom
* VASP energy: -0.22388 hartree per atom

abc: 13.0508 7.5210 8.5458
angles: 90.00 120.62 90.00
Last column: nearest neighbours and their distance in Å.
Space group C2/m (No. 12)
Inequivalent atoms, fractional coordinates:
Pm 0.0225 0.2485 0.3191 x8  1 N 2.54, 2 C 2.55-2.56
Pm 0.2260 0.0000 0.6809 x4  1 N 2.54, 2 C 2.55
Pm 0.2278 0.5000 0.6831 x4  3 C 2.56
C 0.0000 0.5000 0.5000 x2  6 Pm 2.55-2.56
C 0.2500 0.2500 0.5000 x4  6 Pm 2.55-2.56
Br 0.0000 0.0000 0.0000 x2  6 Pm 3.19
Br 0.0000 0.5000 0.0000 x2  6 Pm 3.21
Br 0.2500 0.2500 0.0000 x4  6 Pm 3.19
N 0.0000 0.0000 0.5000 x2  6 Pm 2.54

Entry 9:
Density functional theory data (PBE-GGA) for TlCoSe2 after structural relaxation.

Properties
* formation energy (no corrections): -35 meV/atom
* VASP energy: -0.15233 hartree per atom

abc: 3.1599 3.1737 17.1841
angles: 90.00 90.00 90.00
Last column: nearest neighbours and their distance in Å.
Space group Imm2 (No. 44)
Inequivalent atoms, fractional coordinates:
Tl 0.0000 0.0000 0.0000 x2  4 Tl 3.16-3.17, 6 Se 3.46-3.49
Co 0.0000 0.5000 0.2565 x2  6 Se 2.37-2.48
Se 0.0000 0.0000 0.6534 x2  2 Co 2.37
Se 0.0000 0.5000 0.8192 x2  4 Co 2.48

Entry 10:
Density functional theory data (PBE-GGA) for Na2LiUCl6 after structural relaxation.

Properties
* formation energy (no corrections): -1731 meV/atom
* VASP energy: -0.16255 hartree per atom

abc: 6.9871 6.9871 18.7488
angles: 90.00 90.00 120.00
Last column: nearest neighbours and their distance in Å.
Space group R3 (No. 146, hexagonal axes)
Inequivalent atoms, fractional coordinates:
Na 0.0000 0.0000 0.0000 x3  6 Cl 2.78-2.96
Na 0.0000 0.0000 0.4969 x3  6 Cl 2.82-2.90
Li 0.0000 0.0000 0.2924 x3  6 Cl 2.60-2.77
U 0.0000 0.0000 0.7985 x3  6 Cl 2.75-2.79
Cl 0.0107 0.6377 0.5590 x9  1 Li 2.60, 1 U 2.79, 1 Na 2.82
Cl 0.0220 0.3094 0.3895 x9  1 U 2.75, 1 Li 2.77, 2 Na 2.78-2.90

Entry 11:
Density functional theory data (PBE-GGA) for Ac3La2Pb3 after structural relaxation.

Properties
* VASP energy: -0.16789 hartree per atom
* formation enthalpy at 0 K: -0.41 eV/atom
* energy relative to the lowest polymorph listed for this composition: 127 meV/atom

abc: 4.6312 5.3700 23.2159
angles: 90.00 90.00 90.00
Last column: nearest neighbours and their distance in Å.
Space group Immm (No. 71)
Inequivalent atoms, fractional coordinates:
Ac 0.0000 0.0000 0.0000 x2  8 Pb 3.55-3.92, 4 Ac 3.86
Ac 0.0000 0.5000 0.1196 x4  6 Pb 3.57-3.61, 2 Ac 3.86, 4 La 3.92-3.95
La 0.0000 0.0000 0.2425 x4  2 Pb 3.38, 4 La 3.56
Pb 0.0000 0.0000 0.5000 x2  8 Ac 3.55-3.61
Pb 0.0000 0.5000 0.3637 x4  2 La 3.38, 4 Ac 3.57

Entry 12:
Density functional theory data (PBE-GGA) for Ac5TbSn5 after structural relaxation.

Properties
* VASP energy: -0.16776 hartree per atom
* formation enthalpy at 0 K: -0.46 eV/atom

abc: 15.4349 6.6720 9.0749
angles: 90.00 108.22 90.00
Last column: nearest neighbours and their distance in Å.
Space group C2/m (No. 12)
Inequivalent atoms, fractional coordinates:
Ac 0.0000 0.0000 0.0000 x2  4 Sn 3.31-3.33
Ac 0.1640 0.5000 0.3264 x4  5 Sn 3.35-3.43
Ac 0.1781 0.5000 0.8246 x4  5 Sn 3.34-3.40
Tb 0.0000 0.0000 0.5000 x2  6 Sn 3.12-3.34
Sn 0.0000 0.5000 0.5000 x2  2 Tb 3.34, 4 Ac 3.34-3.37
Sn 0.1560 0.0000 0.3493 x4  1 Tb 3.12, 5 Ac 3.33-3.40
Sn 0.1583 0.0000 0.8244 x4  1 Tb 3.18, 5 Ac 3.31-3.43